Pu2NiO6 | PBE+U | optimized geometry

Calculated values
Total DFT energy (no corrections)   -9.119 eV per atom
Magnetic moment   8.00 μB per formula unit
D(E_F)   8.37 states/eV/f.u.
Symmetry   P2_1/c, No. 14

a b c (Å): 5.407 5.115 9.168
angles (deg): 90.00 90.04 90.00
Site moments in Bohr magnetons follow the coordinates.
Fractional positions:
Pu  0.500  0.999  0.814  3.49
Pu  0.000  0.499  0.686  3.49
Pu  0.000  0.501  0.314  3.49
Pu  0.500  0.001  0.186  3.49
Ni  0.500  0.500  0.500  1.73
Ni  0.000  0.000  0.000  1.73
O  0.335  0.274  0.667  -0.12
O  0.163  0.690  0.500  -0.12
O  0.835  0.224  0.833  -0.12
O  0.665  0.724  0.667  -0.12
O  0.337  0.190  0.000  -0.12
O  0.165  0.774  0.833  -0.12
O  0.835  0.226  0.167  -0.12
O  0.663  0.810  0.000  -0.12
O  0.335  0.276  0.333  -0.12
O  0.165  0.776  0.167  -0.12
O  0.837  0.310  0.500  -0.12
O  0.665  0.726  0.333  -0.12